## AgHg2MoO6 (PBE+U)

Data for an optimized crystal structure of AgHg2MoO6.

The structure in CIF format:
```
data_AgHg2MoO6
_space_group_name_H-M_alt 'P 1'
_space_group_IT_number 1
_cell_length_a 5.296
_cell_length_b 6.213
_cell_length_c 6.681
_cell_angle_alpha 53.27
_cell_angle_beta 63.23
_cell_angle_gamma 64.74
loop_
_space_group_symop_operation_xyz
'x,y,z'
loop_
_atom_site_label
_atom_site_fract_x
_atom_site_fract_y
_atom_site_fract_z
O1 0.649 0.181 0.872
O2 0.128 0.028 0.218
O3 0.965 0.563 0.136
O4 0.458 0.654 0.864
O5 0.176 0.457 0.693
O6 0.455 0.147 0.358
Mo1 0.326 0.296 0.082
Hg1 0.563 0.515 0.395
Hg2 0.123 0.021 0.847
Ag1 0.818 0.800 0.550
```

* uncorrected energy: -4.7196 eV per atom
* V: 15.344 Å³ per atom
* D(E_F): 2.0 states/eV/cell